(1)
Here is ZrCO2F after structural relaxation from Alexandria. Energies are from PBE-GGA.

## Properties
calculated total energy: -6.19 eV/atom
E_form (uncorrected): -0.2787 eV/atom

Geometry as CIF:
```
data_ZrCO2F
_symmetry_space_group_name_H-M 'P 4/m m m'
_symmetry_Int_Tables_number 123
_symmetry_space_group_name_Hall '-P 4 2'
_cell_length_a 3.747
_cell_length_b 3.747
_cell_length_c 3.532
_cell_angle_alpha 90.00
_cell_angle_beta 90.00
_cell_angle_gamma 90.00
loop_
_atom_site_label
_atom_site_fract_x
_atom_site_fract_y
_atom_site_fract_z
Zr1 0.000 0.000 0.000
C1 0.500 0.500 0.500
O1 0.000 0.500 0.500
F1 0.500 0.500 0.000
```


(2)
Here is La4Pm2Pr after structural relaxation from Alexandria. Energies are from PBE-GGA.

## Properties
formation enthalpy at 0 K: 0.209 eV/atom
calculated total energy: -4.65 eV/atom

Geometry as CIF:
```
data_La4Pm2Pr
_symmetry_space_group_name_H-M 'P 42/m n m'
_symmetry_Int_Tables_number 136
_symmetry_space_group_name_Hall '-P 4n 2n'
_cell_length_a 9.442
_cell_length_b 9.442
_cell_length_c 5.976
_cell_angle_alpha 90.00
_cell_angle_beta 90.00
_cell_angle_gamma 90.00
loop_
_atom_site_label
_atom_site_fract_x
_atom_site_fract_y
_atom_site_fract_z
La1 0.097 0.362 0.000
Pm1 0.180 0.180 0.500
Pr1 0.000 0.000 0.000
```


Which value of calculated total energy does entry 2 give? -4.65 eV/atom